VASP calculation (PBE-GGA) on a relaxed TbSi2Ru4 crystal.

The space group is Immm (No. 71) and the conventional cell measures 2.851, 4.167 and 18.973 Å, with angles of 90.00, 90.00 and 90.00 degrees. The asymmetric unit holds Tb at (0.000, 0.000, 0.000), Si at (0.000, 0.000, 0.383), Ru at (0.000, 0.000, 0.146) and Ru at (0.000, 0.500, 0.233).

The total energy is -107.6 eV/cell. For the raw formation energy, the calculation gives -0.1708 eV per atom. Its volume is 16.10 Å³ per atom. The excess energy over the best structure of this formula in the dataset comes out at 446.8 meV/atom.

VASP calculation (PBE-GGA) on a relaxed TbSiRu crystal.

The space group is Pnma (No. 62) and the conventional cell measures 7.032, 4.354 and 7.103 Å, with angles of 90.00, 90.00 and 90.00 degrees. The asymmetric unit holds Tb at (0.016, 0.250, 0.186), Si at (0.194, 0.250, 0.606) and Ru at (0.153, 0.750, 0.433).

The total energy is -87.1 eV/cell. For the raw formation energy, the calculation gives -0.8185 eV per atom. Its volume is 18.12 Å³ per atom.

VASP calculation (PBE-GGA) on a relaxed TbSi3Ru crystal.

The space group is P-1 (No. 2) and the conventional cell measures 5.775, 5.780 and 5.803 Å, with angles of 84.99, 85.18 and 61.42 degrees. The asymmetric unit holds Tb at (0.240, 0.240, 0.241), Si at (0.236, 0.764, 0.501), Si at (0.298, 0.703, 0.002), Si at (0.341, 0.342, 0.720) and Ru at (0.105, 0.105, 0.779).

The total energy is -66.9 eV/cell. For the raw formation energy, the calculation gives -0.6571 eV per atom. Its volume is 16.93 Å³ per atom.

VASP calculation (PBE-GGA) on a relaxed TbSi6Ru12 crystal.

The space group is R-3m (No. 166, hexagonal axes) and the conventional cell measures 10.8140, 10.8140 and 8.5738 Å, with angles of 90.00, 90.00 and 120.00 degrees. The asymmetric unit holds Tb at (0.0000, 0.0000, 0.0000), Si at (0.0319, 0.5159, 0.2801), Ru at (0.0000, 0.3680, 0.5000) and Ru at (0.0898, 0.1796, 0.3618).

The total energy is -466.9 eV/cell. For the raw formation energy, the calculation gives -0.3765 eV per atom. Its volume is 15.23 Å³ per atom.

VASP calculation (PBE-GGA) on a relaxed Tb3Si3Ru crystal.

The space group is C2/m (No. 12) and the conventional cell measures 10.664, 4.238 and 13.651 Å, with angles of 90.00, 111.07 and 90.00 degrees. The asymmetric unit holds Tb at (0.021, 0.000, 0.375), Tb at (0.102, 0.000, 0.920), Tb at (0.246, 0.000, 0.228), Si at (0.053, 0.500, 0.238), Si at (0.111, 0.500, 0.074), Si at (0.138, 0.500, 0.543) and Ru at (0.247, 0.500, 0.414).

The total energy is -181.4 eV/cell. For the raw formation energy, the calculation gives -0.8464 eV per atom. Its volume is 20.56 Å³ per atom.

VASP calculation (PBE-GGA) on a relaxed TbSi2Ru2 crystal.

The space group is I4/mmm (No. 139) and the conventional cell measures 4.184, 4.184 and 9.588 Å, with angles of 90.00, 90.00 and 90.00 degrees. The asymmetric unit holds Tb at (0.000, 0.000, 0.000), Si at (0.000, 0.000, 0.368) and Ru at (0.000, 0.500, 0.250).

The total energy is -77.2 eV/cell. For the raw formation energy, the calculation gives -0.9178 eV per atom. Its volume is 16.78 Å³ per atom.